{"formula": "Y2MnFe", "functional": "GGA-PBE", "state": "optimized geometry", "polymorph_energy_mev_per_atom": 186, "delta_e_f_mev_per_atom": 203, "space_group": "Fm-3m (225)", "lattice_angstrom": [[0.0000, 3.4749, 3.4749], [3.4749, 0.0000, 3.4749], [3.4749, 3.4749, 0.0000]], "species": ["Y", "Y", "Mn", "Fe"], "frac_coords": [[0.2500, 0.2500, 0.2500], [0.7500, 0.7500, 0.7500], [0.0000, 0.0000, 0.0000], [0.5000, 0.5000, 0.5000]]}